[1]
Computed, not measured: a relaxed structure of LaTa2Hg at the PBE-GGA level of DFT.

POSCAR file:
```
LaTa2Hg
1.0
6.028 0.001 -0.023
-2.857 5.308 -0.023
0.601 1.006 2.723
Hg La Ta
1 1 2
Cartesian
3.315 0.504 1.350
-1.128 3.157 1.350
0.000 0.000 0.000
1.586 2.655 -0.023
```

Values from the calculation:
Energy of formation in eV/atom: 0.5268

=====

[2]
Computed, not measured: a relaxed structure of LaTaHg2 at the PBE-GGA level of DFT.

POSCAR file:
```
LaTaHg2
1.0
-2.454 -0.223 1.991
-1.881 -0.829 -2.410
1.980 -8.744 1.462
Hg La Ta
2 1 1
Cartesian
1.924 -8.499 1.421
1.045 -4.616 0.772
-1.672 -2.712 0.156
-0.682 -7.084 0.887
```

Values from the calculation:
Energy of formation in eV/atom: 0.1135
E above lowest polymorph in meV per atom: 0